[1]
Entry from Alexandria: a relaxed structure of LiCoO2 (GGA-PBEsol).

Computed properties:
**Magnetization**: 0.00 μB per atom
**Raw formation energy**: -1.517 eV/atom
**Calculated total energy**: -6.57 eV/atom

a = 7.957 Å, b = 7.957 Å, c = 7.957 Å
α = 90.00°, β = 90.00°, γ = 90.00°
Space group Fd-3m (No. 227, origin choice 2)
Symmetry-distinct sites (fractional):
Li (0.000, 0.000, 0.000)
Co (0.000, 0.000, 0.500)
O (0.011, 0.011, 0.739)

[2]
Entry from Alexandria: a relaxed structure of LiCo4O8 (GGA-PBEsol).

Computed properties:
**Magnetization**: 0.23 μB per atom
**Fermi-level density of states**: 0.797 states/eV/atom
**Raw formation energy**: -1.123 eV/atom
**Calculated total energy**: -6.89 eV/atom

a = 9.618 Å, b = 5.554 Å, c = 5.786 Å
α = 90.00°, β = 123.52°, γ = 90.00°
Space group C2/m (No. 12)
Symmetry-distinct sites (fractional):
Li (0.000, 0.000, 0.000)
Co (0.000, 0.000, 0.500)
Co (0.000, 0.500, 0.500)
Co (0.250, 0.250, 0.500)
O (0.018, 0.248, 0.302)
O (0.231, 0.000, 0.692)
O (0.233, 0.500, 0.698)

[3]
Entry from Alexandria: a relaxed structure of LiCoO2 (GGA-PBEsol).

Computed properties:
**Magnetization**: 0.50 μB per atom
**Fermi-level density of states**: 0.874 states/eV/atom
**Raw formation energy**: -0.859 eV/atom
**Calculated total energy**: -5.91 eV/atom

a = 4.908 Å, b = 4.908 Å, c = 4.908 Å
α = 90.00°, β = 90.00°, γ = 90.00°
Space group Fm-3m (No. 225)
Symmetry-distinct sites (fractional):
Li (0.000, 0.000, 0.000)
Co (0.000, 0.000, 0.500)
O (0.250, 0.250, 0.250)

[4]
Entry from Alexandria: a relaxed structure of Li5Co3O8 (GGA-PBEsol).

Computed properties:
**Magnetization**: 0.13 μB per atom
**Fermi-level density of states**: 0.373 states/eV/atom
**Raw formation energy**: -1.569 eV/atom
**Calculated total energy**: -6.26 eV/atom

a = 5.5963 Å, b = 5.5963 Å, c = 13.8172 Å
α = 90.00°, β = 90.00°, γ = 120.00°
Space group R-3m (No. 166, hexagonal axes)
Symmetry-distinct sites (fractional):
Li (0.0000, 0.0000, 0.0000)
Li (0.0000, 0.0000, 0.5000)
Li (0.0000, 0.5000, 0.0000)
Co (0.0000, 0.5000, 0.5000)
O (0.0000, 0.0000, 0.2393)
O (0.0184, 0.5092, 0.7596)

[5]
Entry from Alexandria: a relaxed structure of LiCoO2 (GGA-PBEsol).

Computed properties:
**Magnetization**: 0.00 μB per atom
**Raw formation energy**: -1.499 eV/atom
**Calculated total energy**: -6.55 eV/atom

a = 2.8023 Å, b = 2.8023 Å, c = 9.3557 Å
α = 90.00°, β = 90.00°, γ = 120.00°
Space group P6_3mc (No. 186)
Symmetry-distinct sites (fractional):
Li (0.3333, 0.6667, 0.0000)
Co (0.3333, 0.6667, 0.2583)
O (0.0000, 0.0000, 0.3661)
O (0.3333, 0.6667, 0.6508)

[6]
Entry from Alexandria: a relaxed structure of Li4Co3O7 (GGA-PBEsol).

Computed properties:
**Magnetization**: 0.08 μB per atom
**Fermi-level density of states**: 0.418 states/eV/atom
**Raw formation energy**: -1.561 eV/atom
**Calculated total energy**: -6.41 eV/atom

a = 4.858 Å, b = 4.888 Å, c = 9.734 Å
α = 99.78°, β = 99.54°, γ = 99.66°
Space group P-1 (No. 2)
Symmetry-distinct sites (fractional):
Li (0.000, 0.000, 0.000)
Li (0.000, 0.000, 0.500)
Li (0.143, 0.280, 0.293)
Li (0.274, 0.570, 0.568)
Li (0.428, 0.855, 0.855)
Co (0.141, 0.284, 0.783)
Co (0.286, 0.572, 0.072)
Co (0.430, 0.859, 0.360)
O (0.068, 0.612, 0.899)
O (0.079, 0.653, 0.379)
O (0.211, 0.900, 0.183)
O (0.232, 0.962, 0.685)
O (0.360, 0.245, 0.960)
O (0.381, 0.193, 0.467)
O (0.496, 0.470, 0.755)

[7]
Entry from Alexandria: a relaxed structure of Li9Co2O8 (GGA-PBEsol).

Computed properties:
**Magnetization**: 0.47 μB per atom
**Fermi-level density of states**: 0.363 states/eV/atom
**Raw formation energy**: -1.545 eV/atom
**Calculated total energy**: -5.50 eV/atom

a = 8.910 Å, b = 8.808 Å, c = 4.676 Å
α = 90.00°, β = 91.32°, γ = 90.00°
Space group C2 (No. 5)
Symmetry-distinct sites (fractional):
Li (0.000, 0.000, 0.000)
Li (0.000, 0.099, 0.500)
Li (0.000, 0.608, 0.000)
Li (0.211, 0.322, 0.504)
Li (0.225, 0.571, 0.568)
Li (0.247, 0.074, 0.936)
Co (0.000, 0.315, 0.000)
Co (0.000, 0.814, 0.500)
O (0.119, 0.180, 0.213)
O (0.121, 0.445, 0.811)
O (0.128, 0.699, 0.296)
O (0.131, 0.951, 0.678)

[8]
Entry from Alexandria: a relaxed structure of Li9Co7O16 (GGA-PBEsol).

Computed properties:
**Magnetization**: 0.07 μB per atom
**Fermi-level density of states**: 0.433 states/eV/atom
**Raw formation energy**: -1.555 eV/atom
**Calculated total energy**: -6.43 eV/atom

a = 4.860 Å, b = 11.235 Å, c = 4.883 Å
α = 90.00°, β = 109.36°, γ = 90.00°
Space group P2/m (No. 10)
Symmetry-distinct sites (fractional):
Li (0.000, 0.000, 0.000)
Li (0.000, 0.118, 0.500)
Li (0.000, 0.373, 0.500)
Li (0.500, 0.000, 0.500)
Li (0.500, 0.248, 0.500)
Li (0.500, 0.500, 0.500)
Co (0.000, 0.247, 0.000)
Co (0.000, 0.500, 0.000)
Co (0.500, 0.123, 0.000)
Co (0.500, 0.374, 0.000)
O (0.239, 0.375, 0.215)
O (0.251, 0.134, 0.223)
O (0.260, 0.250, 0.784)
O (0.261, 0.500, 0.784)
O (0.282, 0.000, 0.773)

[9]
Entry from Alexandria: a relaxed structure of Li9Co7O16 (GGA-PBEsol).

Computed properties:
**Magnetization**: 0.07 μB per atom
**Fermi-level density of states**: 0.522 states/eV/atom
**Raw formation energy**: -1.551 eV/atom
**Calculated total energy**: -6.42 eV/atom

a = 5.6178 Å, b = 5.6178 Å, c = 27.5622 Å
α = 90.00°, β = 90.00°, γ = 120.00°
Space group R-3m (No. 166, hexagonal axes)
Symmetry-distinct sites (fractional):
Li (0.0000, 0.0000, 0.0000)
Li (0.0000, 0.0000, 0.2521)
Li (0.0098, 0.5049, 0.7470)
Co (0.0000, 0.0000, 0.5000)
Co (0.0000, 0.5000, 0.0000)
Co (0.0000, 0.5000, 0.5000)
O (0.0000, 0.0000, 0.1307)
O (0.0000, 0.0000, 0.3695)
O (0.0005, 0.5003, 0.1310)
O (0.0178, 0.5089, 0.3707)

[10]
Entry from Alexandria: a relaxed structure of Li9Co7O16 (GGA-PBEsol).

Computed properties:
**Magnetization**: 0.06 μB per atom
**Fermi-level density of states**: 0.564 states/eV/atom
**Raw formation energy**: -1.532 eV/atom
**Calculated total energy**: -6.40 eV/atom

a = 4.884 Å, b = 2.808 Å, c = 18.482 Å
α = 90.00°, β = 94.55°, γ = 90.00°
Space group P2/m (No. 10)
Symmetry-distinct sites (fractional):
Li (0.000, 0.000, 0.000)
Li (0.000, 0.500, 0.500)
Li (0.130, 0.000, 0.374)
Li (0.258, 0.500, 0.248)
Li (0.374, 0.000, 0.122)
Li (0.500, 0.500, 0.000)
Co (0.117, 0.500, 0.878)
Co (0.242, 0.000, 0.750)
Co (0.370, 0.500, 0.625)
Co (0.500, 0.000, 0.500)
O (0.036, 0.000, 0.185)
O (0.086, 0.500, 0.689)
O (0.172, 0.500, 0.069)
O (0.216, 0.000, 0.565)
O (0.290, 0.000, 0.929)
O (0.346, 0.500, 0.440)
O (0.394, 0.500, 0.807)
O (0.475, 0.000, 0.316)

[11]
Entry from Alexandria: a relaxed structure of Li8Co5O10 (GGA-PBEsol).

Computed properties:
**Magnetization**: 0.18 μB per atom
**Fermi-level density of states**: 0.594 states/eV/atom
**Raw formation energy**: -1.419 eV/atom
**Calculated total energy**: -6.07 eV/atom

a = 5.060 Å, b = 6.332 Å, c = 8.182 Å
α = 92.38°, β = 105.13°, γ = 111.73°
Space group P1 (No. 1)
Symmetry-distinct sites (fractional):
Li (0.000, 0.000, 0.000)
Li (0.008, 0.826, 0.727)
Li (0.174, 0.183, 0.603)
Li (0.187, 0.007, 0.337)
Li (0.376, 0.382, 0.203)
Li (0.556, 0.552, 0.818)
Li (0.624, 0.463, 0.513)
Li (0.809, 0.625, 0.129)
Co (0.191, 0.605, 0.472)
Co (0.394, 0.811, 0.069)
Co (0.594, 0.009, 0.675)
Co (0.794, 0.199, 0.258)
Co (0.988, 0.400, 0.862)
O (0.192, 0.323, 0.389)
O (0.197, 0.887, 0.551)
O (0.377, 0.526, 0.001)
O (0.392, 0.077, 0.162)
O (0.565, 0.716, 0.623)
O (0.619, 0.302, 0.707)
O (0.792, 0.926, 0.177)
O (0.808, 0.483, 0.332)
O (0.992, 0.684, 0.941)
O (0.993, 0.127, 0.785)

[12]
Entry from Alexandria: a relaxed structure of Li4Co3O7 (GGA-PBEsol).

Computed properties:
**Magnetization**: 0.08 μB per atom
**Fermi-level density of states**: 0.415 states/eV/atom
**Raw formation energy**: -1.562 eV/atom
**Calculated total energy**: -6.41 eV/atom

a = 4.861 Å, b = 5.639 Å, c = 8.449 Å
α = 90.41°, β = 95.46°, γ = 106.78°
Space group P-1 (No. 2)
Symmetry-distinct sites (fractional):
Li (0.000, 0.000, 0.000)
Li (0.000, 0.500, 0.000)
Li (0.140, 0.290, 0.276)
Li (0.286, 0.572, 0.572)
Li (0.418, 0.851, 0.863)
Co (0.142, 0.783, 0.283)
Co (0.286, 0.071, 0.572)
Co (0.430, 0.359, 0.860)
O (0.006, 0.776, 0.489)
O (0.144, 0.508, 0.783)
O (0.147, 0.059, 0.777)
O (0.298, 0.813, 0.090)
O (0.314, 0.339, 0.065)
O (0.421, 0.080, 0.369)
O (0.434, 0.631, 0.347)